# 1
# PmNpMnN3, relaxed, DFT PBE
data_PmNpMnN3
_chemical_formula_sum 'Pm2 Np2 Mn2 N6'
_space_group_name_H-M_alt 'P 1 21/m 1'
_space_group_IT_number 11
_space_group_name_Hall '-P 2yb'
_cell_length_a 7.2272
_cell_length_b 3.3254
_cell_length_c 7.2684
_cell_angle_alpha 90.00
_cell_angle_beta 101.55
_cell_angle_gamma 90.00
loop_
_atom_site_label
_atom_site_type_symbol
_atom_site_fract_x
_atom_site_fract_y
_atom_site_fract_z
Pm1 Pm 0.1734 0.2500 0.2019
Np1 Np 0.3421 0.7500 0.8221
Mn1 Mn 0.0904 0.2500 0.5813
N1 N 0.1216 0.2500 0.8531
N2 N 0.1806 0.7500 0.4725
N3 N 0.4306 0.7500 0.1342
# formation energy without anion corrections: -928 meV per atom


# 2
# Ac4PRhS2, relaxed, DFT PBE
data_Ac4PRhS2
_chemical_formula_sum 'Ac4 P1 Rh1 S2'
_space_group_name_H-M_alt 'P 1 2/m 1'
_space_group_IT_number 10
_space_group_name_Hall '-P 2y'
_cell_length_a 7.6113
_cell_length_b 4.3159
_cell_length_c 7.6234
_cell_angle_alpha 90.00
_cell_angle_beta 108.15
_cell_angle_gamma 90.00
loop_
_atom_site_label
_atom_site_type_symbol
_atom_site_fract_x
_atom_site_fract_y
_atom_site_fract_z
Ac1 Ac 0.2388 0.0000 0.2528
Ac2 Ac 0.2402 0.5000 0.7436
P1 P 0.0000 0.5000 0.0000
Rh1 Rh 0.0000 0.0000 0.5000
S1 S 0.5000 0.0000 0.0000
S2 S 0.5000 0.5000 0.5000
# formation energy without anion corrections: -1509 meV per atom


# 3
# BaSbP2, relaxed, DFT PBE
data_BaSbP2
_chemical_formula_sum 'Ba3 Sb3 P6'
_space_group_name_H-M_alt 'R -3 m'
_space_group_IT_number 166
_space_group_name_Hall '-R 3 2"'
_cell_length_a 4.1413
_cell_length_b 4.1413
_cell_length_c 22.1321
_cell_angle_alpha 90.00
_cell_angle_beta 90.00
_cell_angle_gamma 120.00
loop_
_atom_site_label
_atom_site_type_symbol
_atom_site_fract_x
_atom_site_fract_y
_atom_site_fract_z
Ba1 Ba 0.0000 0.0000 0.0000
Sb1 Sb 0.0000 0.0000 0.5000
P1 P 0.0000 0.0000 0.2343
# formation energy without anion corrections: -251 meV per atom


# 4
# Dy3CuSi6Ni2, relaxed, DFT PBE
data_Dy3CuSi6Ni2
_chemical_formula_sum 'Dy3 Cu1 Si6 Ni2'
_space_group_name_H-M_alt 'P -3 m 1'
_space_group_IT_number 164
_space_group_name_Hall '-P 3 2"'
_cell_length_a 5.2463
_cell_length_b 5.2463
_cell_length_c 9.0493
_cell_angle_alpha 90.00
_cell_angle_beta 90.00
_cell_angle_gamma 120.00
loop_
_atom_site_label
_atom_site_type_symbol
_atom_site_fract_x
_atom_site_fract_y
_atom_site_fract_z
Dy1 Dy 0.0000 0.0000 0.0000
Dy2 Dy 0.3333 0.6667 0.5767
Cu1 Cu 0.0000 0.0000 0.5000
Si1 Si 0.1672 0.3343 0.2781
Ni1 Ni 0.3333 0.6667 0.0851
# formation energy without anion corrections: -309 meV per atom


# 5
# Li3Pm2Tl4, relaxed, DFT PBE
data_Li3Pm2Tl4
_chemical_formula_sum 'Li12 Pm8 Tl16'
_space_group_name_H-M_alt 'C m c e'
_space_group_IT_number 64
_space_group_name_Hall '-C 2ac 2'
_cell_length_a 6.5795
_cell_length_b 16.3392
_cell_length_c 8.0841
_cell_angle_alpha 90.00
_cell_angle_beta 90.00
_cell_angle_gamma 90.00
loop_
_atom_site_label
_atom_site_type_symbol
_atom_site_fract_x
_atom_site_fract_y
_atom_site_fract_z
Li1 Li 0.0000 0.0000 0.0000
Li2 Li 0.2500 0.2264 0.2500
Pm1 Pm 0.0000 0.1139 0.5795
Tl1 Tl 0.0000 0.1739 0.9691
Tl2 Tl 0.2500 0.0489 0.2500
# energy relative to the lowest polymorph listed for this composition: 0.009 eV/atom
# formation energy: -0.275 eV per atom


# 6
# Ca3LaPd8, relaxed, DFT PBE
data_Ca3LaPd8
_chemical_formula_sum 'Ca9 La3 Pd24'
_space_group_name_H-M_alt 'R 3 m'
_space_group_IT_number 160
_space_group_name_Hall 'R 3 -2"'
_cell_length_a 5.5094
_cell_length_b 5.5094
_cell_length_c 26.8580
_cell_angle_alpha 90.00
_cell_angle_beta 90.00
_cell_angle_gamma 120.00
loop_
_atom_site_label
_atom_site_type_symbol
_atom_site_fract_x
_atom_site_fract_y
_atom_site_fract_z
Ca1 Ca 0.0000 0.0000 0.0000
Ca2 Ca 0.0000 0.0000 0.1229
Ca3 Ca 0.0000 0.0000 0.4929
La1 La 0.0000 0.0000 0.6206
Pd1 Pd 0.0000 0.0000 0.3091
Pd2 Pd 0.0000 0.0000 0.8087
Pd3 Pd 0.9996 0.4998 0.0587
Pd4 Pd 0.0012 0.5006 0.5589
# formation energy: -0.726 eV per atom


# 7
# AgSe2Cl8, relaxed, DFT PBE
data_AgSe2Cl8
_chemical_formula_sum 'Ag2 Se4 Cl16'
_space_group_name_H-M_alt 'C 1 2/m 1'
_space_group_IT_number 12
_space_group_name_Hall '-C 2y'
_cell_length_a 13.4759
_cell_length_b 7.0008
_cell_length_c 7.3426
_cell_angle_alpha 90.00
_cell_angle_beta 105.61
_cell_angle_gamma 90.00
loop_
_atom_site_label
_atom_site_type_symbol
_atom_site_fract_x
_atom_site_fract_y
_atom_site_fract_z
Ag1 Ag 0.0000 0.0000 0.0000
Se1 Se 0.1654 0.0000 0.6019
Cl1 Cl 0.0306 0.2304 0.7847
Cl2 Cl 0.2175 0.5000 0.1336
Cl3 Cl 0.2338 0.5000 0.5883
# formation energy without anion corrections: -213 meV per atom


# 8
# Sr2Li3In2, relaxed, DFT PBE
data_Sr2Li3In2
_chemical_formula_sum 'Sr4 Li6 In4'
_space_group_name_H-M_alt 'C 1 2/m 1'
_space_group_IT_number 12
_space_group_name_Hall '-C 2y'
_cell_length_a 15.8439
_cell_length_b 4.0776
_cell_length_c 6.7339
_cell_angle_alpha 90.00
_cell_angle_beta 113.07
_cell_angle_gamma 90.00
loop_
_atom_site_label
_atom_site_type_symbol
_atom_site_fract_x
_atom_site_fract_y
_atom_site_fract_z
Sr1 Sr 0.1226 0.0000 0.4987
Li1 Li 0.0000 0.0000 0.0000
Li2 Li 0.2136 0.0000 0.0864
In1 In 0.0821 0.5000 0.8683
# formation energy: -0.187 eV per atom


Number 1: DOS(E_F) 0.988 states/eV/atom, calculated density 9.294 g cm⁻³. Number 2: DOS(E_F) 0.732 states/eV/atom, calculated density 7.718 g cm⁻³. Number 3: DOS(E_F) 1.032 states/eV/atom, calculated density 4.865 g cm⁻³. Number 4: DOS(E_F) 0.458 states/eV/atom, calculated density 6.443 g cm⁻³. Number 5: DOS(E_F) 0.629 states/eV/atom, calculated density 8.624 g cm⁻³. Number 6: DOS(E_F) 0.806 states/eV/atom, calculated density 7.836 g cm⁻³. Number 7: DOS(E_F) 0.300 states/eV/atom, calculated density 2.735 g cm⁻³. Number 8: DOS(E_F) 0.319 states/eV/atom, calculated density 3.532 g cm⁻³.